[1]
BeCrO2F: PBEsol geometry, SCAN.

Structure (POSCAR):
```
BeCrO2F
1.0
3.543 0.000 0.000
0.000 3.543 0.000
0.000 0.000 3.151
Be Cr O F
1 1 2 1
Direct
0.000 0.000 0.000
0.500 0.500 0.500
0.000 0.500 0.000
0.500 0.000 0.000
0.000 0.000 0.500
```

Properties
Total DFT energy (no corrections) = -9.64 eV/atom
Crystal system = tetragonal
Size of the total moment = 3.00 μB per cell
V = 39.6 Å³ per cell
Theoretical density = 4.701 g/cm3

[2]
Be2CrRuF: PBEsol geometry, SCAN.

Structure (POSCAR):
```
Be2CrRuF
1.0
3.640 0.000 0.000
0.000 3.640 0.000
0.000 0.000 3.929
Be Cr Ru F
2 1 1 1
Direct
0.000 0.500 0.000
0.500 0.000 0.000
0.000 0.000 0.500
0.500 0.500 0.500
0.000 0.000 0.000
```

Properties
Total DFT energy (no corrections) = -13.28 eV/atom
Crystal system = tetragonal
Size of the total moment = 2.71 μB per cell
V = 52.1 Å³ per cell
Theoretical density = 6.063 g/cm3

[3]
BeCrFe: PBEsol geometry, SCAN.

Structure (POSCAR):
```
BeCrFe
1.0
2.440 0.000 0.000
-1.220 2.113 0.000
0.000 0.000 5.749
Be Cr Fe
1 1 1
Direct
0.000 0.000 0.000
0.333 0.667 0.652
0.667 0.333 0.321
```

Properties
Total DFT energy (no corrections) = -13.36 eV/atom
Crystal system = trigonal
Size of the total moment = 0.00 μB per cell
Relative energy among the computed polymorphs = 237.3 meV/atom
V = 29.7 Å³ per cell
Formation energy from the elements = 0.261 eV/atom
Theoretical density = 6.544 g/cm3

[4]
BeCrFe: PBEsol geometry, SCAN.

Structure (POSCAR):
```
BeCrFe
1.0
2.701 0.000 0.000
0.000 2.701 0.000
0.000 0.000 7.842
Be Cr Fe
2 2 2
Direct
0.000 0.000 0.000
0.500 0.500 0.500
0.000 0.000 0.677
0.500 0.500 0.177
0.000 0.000 0.339
0.500 0.500 0.839
```

Properties
Total DFT energy (no corrections) = -13.60 eV/atom
Crystal system = tetragonal
Size of the total moment = 0.01 μB per cell
Relative energy among the computed polymorphs = 0.0 meV/atom
V = 57.2 Å³ per cell
Formation energy from the elements = 0.024 eV/atom
Theoretical density = 6.782 g/cm3

[5]
BeCrFeO2: PBEsol geometry, SCAN.

Structure (POSCAR):
```
BeCrFeO2
1.0
3.463 0.000 0.000
0.000 3.463 0.000
0.000 0.000 4.007
Be Cr Fe O
1 1 1 2
Direct
0.000 0.000 0.000
0.500 0.500 0.500
0.000 0.000 0.500
0.000 0.500 0.000
0.500 0.000 0.000
```

Properties
Total DFT energy (no corrections) = -10.76 eV/atom
Crystal system = tetragonal
Size of the total moment = 6.90 μB per cell
V = 48.0 Å³ per cell
Theoretical density = 5.145 g/cm3

[6]
BeCrGe3: PBEsol geometry, SCAN.

Structure (POSCAR):
```
BeCrGe3
1.0
4.415 0.000 0.000
0.000 4.415 0.000
0.000 0.000 4.415
Be Cr Ge
1 1 3
Direct
0.000 0.000 0.000
0.500 0.500 0.500
0.000 0.000 0.500
0.000 0.500 0.000
0.500 0.000 0.000
```

Properties
Total DFT energy (no corrections) = -15.41 eV/atom
Crystal system = cubic
Size of the total moment = 4.45 μB per cell
V = 86.1 Å³ per cell
Formation energy from the elements = 0.590 eV/atom
Theoretical density = 5.382 g/cm3